10
Lattice="4.2168 0.0000 0.0000 0.0000 4.2168 0.0000 0.0000 0.0000 10.3250" Properties=species:S:1:pos:R:3 comment="Np2CoGe4Pt3, relaxed, DFT PBE" sg="No. 115" ef_mev_per_atom=-465 volume_a3_per_cell=183.59 pbc="T T T"
Ge 2.1084 0.0000 6.4709
Pt 0.0000 2.1084 1.3969
Pt 2.1084 0.0000 8.9281
Co 2.1084 2.1084 5.1625
Ge 0.0000 2.1084 3.8541
Ge 2.1084 2.1084 0.0000
Np 2.1084 0.0000 2.6461
Np 0.0000 2.1084 7.6788
Pt 0.0000 0.0000 5.1625
Ge 0.0000 0.0000 0.0000



10
Lattice="-3.9131 -1.1817 0.7945 0.7630 -3.7018 -1.7476 2.9225 -3.6383 8.9829" Properties=species:S:1:pos:R:3 comment="Np2CoGe4Rh3, relaxed, DFT PBE" sg="No. 115" ef_mev_per_atom=-423 volume_a3_per_cell=175.53 pbc="T T T"
Np 2.5742 -4.5806 5.8658
Rh 1.4612 -1.8191 4.4914
Ge -1.5750 -2.4417 -0.4765
Ge 0.0000 0.0000 0.0000
Rh 0.7713 -2.3362 0.3244
Co -0.1138 -4.2609 4.0149
Rh 0.5761 -3.7438 8.1820
Np -1.2267 -1.4994 2.6405
Ge 1.4740 -3.2110 2.4841
Ge -0.1266 -2.8691 6.0222



10
Lattice="4.0635 0.0000 0.0000 0.0000 4.0635 0.0000 0.0000 0.0000 9.8331" Properties=species:S:1:pos:R:3 comment="Np2Co3Ge4Rh, relaxed, DFT PBE" sg="No. 115" ef_mev_per_atom=-347 volume_a3_per_cell=162.36 pbc="T T T"
Co 2.0317 0.0000 8.5790
Ge 2.0317 2.0317 0.0000
Co 0.0000 0.0000 4.9165
Np 0.0000 2.0317 7.4712
Np 2.0317 0.0000 2.3618
Ge 0.0000 2.0317 3.5678
Ge 0.0000 0.0000 0.0000
Rh 2.0317 2.0317 4.9165
Co 0.0000 2.0317 1.2540
Ge 2.0317 0.0000 6.2652



5
Lattice="-3.0479 -0.4814 -2.5861 2.6281 -0.3889 -3.0251 0.3551 -4.7263 3.5953" Properties=species:S:1:pos:R:3 comment="NpCoGe2Rh, relaxed, DFT PBE" sg="No. 119" ef_mev_per_atom=-388 volume_a3_per_cell=84.67 pbc="T T T"
Rh 1.3866 -2.7752 -1.1177
Ge 0.1095 -3.8936 0.5958
Np 0.0000 0.0000 0.0000
Ge -0.1742 -1.7030 -2.6116
Co -1.4514 -2.8215 -0.8982